# 1
NaTiO3: optimized geometry, PBE.

Structure (extended XYZ):
```
10
Lattice="-10.854 -10.105 0.349 -4.436 -3.420 -2.900 6.117 1.523 0.228" Properties=species:S:1:pos:R:3 pbc="T T T"
O -6.153 -6.250 -1.969
Ti 4.475 0.112 0.198
O -3.021 -5.752 -0.353
Na 2.066 -2.127 0.272
O -1.026 -1.908 -1.828
O -4.815 -8.002 0.116
O -4.358 -4.000 -2.439
O -8.148 -10.094 -0.494
Na -11.239 -9.875 -2.594
Ti -13.648 -12.113 -2.520
```

E_form (uncorrected), eV per atom: -2.346
DOS at the Fermi energy, states/eV/f.u.: 0.0

=====

# 2
AgPRu3: optimized geometry, PBE.

Structure (extended XYZ):
```
5
Lattice="-1.726 -3.830 1.197 -0.641 -1.023 -4.198 3.961 -1.834 -0.157" Properties=species:S:1:pos:R:3 pbc="T T T"
Ru -0.320 -0.512 -2.099
Ru 1.981 -0.917 -0.079
Ag 0.797 -3.344 -1.579
P 0.000 0.000 0.000
Ru -0.863 -1.915 0.599
```

DOS at the Fermi energy, states/eV/f.u.: 4.6
Energy above the most stable polymorph in this dataset, meV/atom: 0
Formation energy from the elements, eV/atom: 0.4737

=====

# 3
Y4CdRh2: optimized geometry, PBE.

Structure (extended XYZ):
```
14
Lattice="-3.078 -0.837 -6.488 2.756 -6.554 -1.245 -6.955 2.277 5.532" Properties=species:S:1:pos:R:3 pbc="T T T"
Rh -1.855 -1.180 -3.596
Y -6.083 0.507 1.444
Cd -6.985 1.144 4.329
Y -3.504 -1.134 -1.132
Y -6.634 0.180 -2.317
Rh -5.318 -1.346 4.127
Y -5.196 -2.898 1.787
Y -4.497 -0.532 -5.032
Y -5.739 -3.741 -1.918
Y -1.140 -3.928 -1.901
Cd -2.147 -3.072 1.179
Y -2.146 -3.427 -5.259
Rh -6.296 -1.620 -0.332
Rh -1.088 -5.630 -4.088
```

DOS at the Fermi energy, states/eV/f.u.: 5.7
Formation energy from the elements, eV/atom: -0.5007

=====

# 4
Rb2BeBSe: optimized geometry, PBE.

Structure (extended XYZ):
```
5
Lattice="-0.517 -0.505 6.410 -6.285 -1.314 -0.610 0.748 -3.480 -0.214" Properties=species:S:1:pos:R:3 pbc="T T T"
Be 0.000 0.000 0.000
Se -3.027 -2.650 2.793
B 0.374 -1.740 -0.107
Rb -0.258 -0.252 3.205
Rb -3.143 -0.657 -0.305
```

E_form (uncorrected), eV per atom: 0.304
DOS at the Fermi energy, states/eV/f.u.: 2.6

=====

# 5
Pm2BeSi4Ni3: optimized geometry, PBE.

Structure (extended XYZ):
```
10
Lattice="-1.063 3.457 1.729 -2.432 -1.992 2.488 7.187 -0.931 6.280" Properties=species:S:1:pos:R:3 pbc="T T T"
Si 0.000 0.000 0.000
Ni -0.336 -1.110 2.013
Pm 4.169 -1.693 5.950
Si 1.447 -1.341 3.571
Ni 3.594 -0.465 3.140
Be 1.846 0.267 5.248
Si 3.992 1.143 4.817
Ni 5.775 0.912 6.375
Si -1.747 0.733 2.108
Pm 1.270 1.495 2.439
```

E_form (uncorrected), eV per atom: -0.745
DOS at the Fermi energy, states/eV/f.u.: 4.3

=====

# 6
RbNdTl2F6: optimized geometry, PBE.

Structure (extended XYZ):
```
10
Lattice="-6.794 0.383 -0.897 2.608 -0.392 6.336 3.950 5.520 -1.285" Properties=species:S:1:pos:R:3 pbc="T T T"
Rb 3.227 2.614 2.546
Nd -0.295 5.422 4.169
Tl -0.487 1.688 4.017
F -2.017 1.087 0.145
Tl 0.185 4.673 0.209
F 1.074 0.865 1.758
F 2.824 3.889 0.099
F 1.356 3.792 4.245
F -3.255 1.004 3.710
F -1.117 3.989 2.538
```

E_form (uncorrected), eV per atom: -2.872
DOS at the Fermi energy, states/eV/f.u.: 0.0

=====

no.,total magnetic moment (μB/f.u.)
1,0.00
2,2.10
3,0.00
4,0.00
5,0.00
6,0.00